# 1
Material: Ho8CuRu2
Method: DFT, PBE
State: relaxed

Cell and atoms, written as CIF:
```
data_Ho8CuRu2
_cell_length_a 8.4201
_cell_length_b 12.4715
_cell_length_c 5.8307
_cell_angle_alpha 90.00
_cell_angle_beta 107.74
_cell_angle_gamma 90.00
_symmetry_space_group_name_H-M 'C 1 m 1'
_symmetry_Int_Tables_number 8
loop_
_symmetry_equiv_pos_as_xyz
'x,y,z'
'x,-y,z'
'x+1/2,y+1/2,z'
'x+1/2,-y+1/2,z'
loop_
_atom_site_label
_atom_site_type_symbol
_atom_site_fract_x
_atom_site_fract_y
_atom_site_fract_z
_atom_site_occupancy
Ho1 Ho 0.0000 0.0000 0.0000 1
Ho2 Ho 0.0784 0.3678 0.7896 1
Ho3 Ho 0.1641 0.1320 0.5900 1
Ho4 Ho 0.2364 0.5000 0.3866 1
Ho5 Ho 0.3671 0.2219 0.1948 1
Cu1 Cu 0.3671 0.0000 0.3498 1
Ru1 Ru 0.3722 0.3110 0.6911 1
```

Values from the calculation:
The value obtained for the energy is -122.169 eV for the cell shown. The calculation puts the energy relative to the elements at -175 kJ/mol of formula units.


# 2
Material: VW2Se
Method: DFT, PBE
State: relaxed

Cell and atoms, written as CIF:
```
data_VW2Se
_cell_length_a 3.7399
_cell_length_b 3.7399
_cell_length_c 19.4040
_cell_angle_alpha 90.00
_cell_angle_beta 90.00
_cell_angle_gamma 90.00
_symmetry_space_group_name_H-M 'I -4 2 d'
_symmetry_Int_Tables_number 122
_symmetry_space_group_name_Hall 'I -4 2bw'
loop_
_atom_site_label
_atom_site_type_symbol
_atom_site_fract_x
_atom_site_fract_y
_atom_site_fract_z
_atom_site_occupancy
V1 V 0.0000 0.0000 0.0000 1
W1 W 0.2486 0.2500 0.1250 1
Se1 Se 0.0000 0.0000 0.5000 1
```

Values from the calculation:
The value obtained for the energy is -143.126 eV for the cell shown.


# 3
Material: Sc6Ga3Co
Method: DFT, PBE
State: relaxed

Cell and atoms, written as CIF:
```
data_Sc6Ga3Co
_cell_length_a 8.1585
_cell_length_b 10.3040
_cell_length_c 4.7199
_cell_angle_alpha 90.00
_cell_angle_beta 90.00
_cell_angle_gamma 90.00
_symmetry_space_group_name_H-M 'P n n m'
_symmetry_Int_Tables_number 58
loop_
_symmetry_equiv_pos_as_xyz
'x,y,z'
'-x,-y,-z'
'-x,-y,z'
'x,y,-z'
'x+1/2,-y+1/2,-z+1/2'
'-x+1/2,y+1/2,z+1/2'
'-x+1/2,y+1/2,-z+1/2'
'x+1/2,-y+1/2,z+1/2'
loop_
_atom_site_label
_atom_site_type_symbol
_atom_site_fract_x
_atom_site_fract_y
_atom_site_fract_z
_atom_site_occupancy
Sc1 Sc 0.0084 0.2358 0.0000 1
Sc2 Sc 0.1615 0.0810 0.5000 1
Sc3 Sc 0.1784 0.4140 0.5000 1
Ga1 Ga 0.0000 0.5000 0.0000 1
Ga2 Ga 0.1580 0.7401 0.5000 1
Co1 Co 0.0000 0.0000 0.0000 1
```

Values from the calculation:
The value obtained for the energy is -116.283 eV for the cell shown. The value obtained for the offset from the most stable computed form is 43 meV/atom. The calculation puts the energy relative to the elements at -383 kJ/mol of formula units.


# 4
Material: FePdSe4
Method: DFT, PBE
State: relaxed

Cell and atoms, written as CIF:
```
data_FePdSe4
_cell_length_a 12.1590
_cell_length_b 3.5973
_cell_length_c 6.4364
_cell_angle_alpha 90.00
_cell_angle_beta 121.95
_cell_angle_gamma 90.00
_symmetry_space_group_name_H-M 'C 1 2/m 1'
_symmetry_Int_Tables_number 12
loop_
_symmetry_equiv_pos_as_xyz
'x,y,z'
'-x,-y,-z'
'-x,y,-z'
'x,-y,z'
'x+1/2,y+1/2,z'
'-x+1/2,-y+1/2,-z'
'-x+1/2,y+1/2,-z'
'x+1/2,-y+1/2,z'
loop_
_atom_site_label
_atom_site_type_symbol
_atom_site_fract_x
_atom_site_fract_y
_atom_site_fract_z
_atom_site_occupancy
Fe1 Fe 0.0000 0.0000 0.0000 1
Pd1 Pd 0.0000 0.5000 0.5000 1
Se1 Se 0.1228 0.5000 0.2806 1
Se2 Se 0.1282 0.0000 0.8170 1
```

Values from the calculation:
The value obtained for the energy is -58.124 eV for the cell shown.


# 5
Material: TlAg2Au
Method: DFT, PBE
State: relaxed

Cell and atoms, written as CIF:
```
data_TlAg2Au
_cell_length_a 3.3049
_cell_length_b 3.3049
_cell_length_c 26.7400
_cell_angle_alpha 90.00
_cell_angle_beta 90.00
_cell_angle_gamma 120.00
_symmetry_space_group_name_H-M 'R -3 m'
_symmetry_Int_Tables_number 166
_symmetry_space_group_name_Hall '-R 3 2"'
loop_
_atom_site_label
_atom_site_type_symbol
_atom_site_fract_x
_atom_site_fract_y
_atom_site_fract_z
_atom_site_occupancy
Tl1 Tl 0.0000 0.0000 0.0000 1
Ag1 Ag 0.0000 0.0000 0.2449 1
Au1 Au 0.0000 0.0000 0.5000 1
```

Values from the calculation:
The value obtained for the energy is -32.184 eV for the cell shown. The value obtained for the offset from the most stable computed form is 97 meV/atom. The calculation puts the energy relative to the elements at 60 kJ/mol of formula units.


# 6
Material: TbPrSmCd
Method: DFT, PBE
State: relaxed

Cell and atoms, written as CIF:
```
data_TbPrSmCd
_cell_length_a 7.8630
_cell_length_b 7.8630
_cell_length_c 7.8630
_cell_angle_alpha 90.00
_cell_angle_beta 90.00
_cell_angle_gamma 90.00
_symmetry_space_group_name_H-M 'F -4 3 m'
_symmetry_Int_Tables_number 216
_symmetry_space_group_name_Hall 'F -4 2 3'
loop_
_atom_site_label
_atom_site_type_symbol
_atom_site_fract_x
_atom_site_fract_y
_atom_site_fract_z
_atom_site_occupancy
Tb1 Tb 0.0000 0.0000 0.0000 1
Pr1 Pr 0.2500 0.2500 0.2500 1
Sm1 Sm 0.2500 0.2500 0.7500 1
Cd1 Cd 0.0000 0.0000 0.5000 1
```

Values from the calculation:
The value obtained for the energy is -60.729 eV for the cell shown. The value obtained for the offset from the most stable computed form is 117 meV/atom. The calculation puts the energy relative to the elements at -13 kJ/mol of formula units.


# 7
Material: AcPr8Dy6
Method: DFT, PBE
State: relaxed

Cell and atoms, written as CIF:
```
data_AcPr8Dy6
_cell_length_a 9.5620
_cell_length_b 9.5620
_cell_length_c 6.7211
_cell_angle_alpha 90.00
_cell_angle_beta 90.00
_cell_angle_gamma 120.00
_symmetry_space_group_name_H-M 'P -3'
_symmetry_Int_Tables_number 147
loop_
_symmetry_equiv_pos_as_xyz
'x,y,z'
'-x,-y,-z'
'-y,x-y,z'
'y,-x+y,-z'
'-x+y,-x,z'
'x-y,x,-z'
loop_
_atom_site_label
_atom_site_type_symbol
_atom_site_fract_x
_atom_site_fract_y
_atom_site_fract_z
_atom_site_occupancy
Ac1 Ac 0.0000 0.0000 0.0000 1
Pr1 Pr 0.0311 0.7350 0.6531 1
Pr2 Pr 0.3333 0.6667 0.6125 1
Dy1 Dy 0.0939 0.6576 0.1509 1
```

Values from the calculation:
The value obtained for the energy is -67.149 eV for the cell shown. The calculation puts the energy relative to the elements at 271 kJ/mol of formula units.


# 8
Material: Tm7Cu2Pt2
Method: DFT, PBE
State: relaxed

Cell and atoms, written as CIF:
```
data_Tm7Cu2Pt2
_cell_length_a 7.9815
_cell_length_b 10.4855
_cell_length_c 6.9820
_cell_angle_alpha 90.00
_cell_angle_beta 90.00
_cell_angle_gamma 90.00
_symmetry_space_group_name_H-M 'C m m m'
_symmetry_Int_Tables_number 65
_symmetry_space_group_name_Hall '-C 2 2'
loop_
_atom_site_label
_atom_site_type_symbol
_atom_site_fract_x
_atom_site_fract_y
_atom_site_fract_z
_atom_site_occupancy
Tm1 Tm 0.0000 0.0000 0.0000 1
Tm2 Tm 0.0000 0.5000 0.2587 1
Tm3 Tm 0.2500 0.2500 0.2617 1
Cu1 Cu 0.2091 0.0000 0.5000 1
Pt1 Pt 0.0000 0.2819 0.0000 1
```

Values from the calculation:
The value obtained for the energy is -111.884 eV for the cell shown. The calculation puts the energy relative to the elements at -421 kJ/mol of formula units.


# 9
Material: SrMn2Sb
Method: DFT, PBE
State: relaxed

Cell and atoms, written as CIF:
```
data_SrMn2Sb
_cell_length_a 4.9299
_cell_length_b 4.9299
_cell_length_c 18.6036
_cell_angle_alpha 90.00
_cell_angle_beta 90.00
_cell_angle_gamma 90.00
_symmetry_space_group_name_H-M 'I -4 2 d'
_symmetry_Int_Tables_number 122
_symmetry_space_group_name_Hall 'I -4 2bw'
loop_
_atom_site_label
_atom_site_type_symbol
_atom_site_fract_x
_atom_site_fract_y
_atom_site_fract_z
_atom_site_occupancy
Sr1 Sr 0.0000 0.0000 0.0000 1
Mn1 Mn 0.0010 0.2500 0.6250 1
Sb1 Sb 0.0000 0.0000 0.5000 1
```

Values from the calculation:
The value obtained for the energy is -92.309 eV for the cell shown.


# 10
Material: LiSi2Au
Method: DFT, PBE
State: relaxed

Cell and atoms, written as CIF:
```
data_LiSi2Au
_cell_length_a 3.4270
_cell_length_b 3.4270
_cell_length_c 5.1682
_cell_angle_alpha 90.00
_cell_angle_beta 90.00
_cell_angle_gamma 90.00
_symmetry_space_group_name_H-M 'P 4 m m'
_symmetry_Int_Tables_number 99
loop_
_symmetry_equiv_pos_as_xyz
'x,y,z'
'-y,x,z'
'-x,-y,z'
'y,-x,z'
'-x,y,z'
'y,x,z'
'x,-y,z'
'-y,-x,z'
loop_
_atom_site_label
_atom_site_type_symbol
_atom_site_fract_x
_atom_site_fract_y
_atom_site_fract_z
_atom_site_occupancy
Li1 Li 0.0000 0.0000 0.0000 1
Si1 Si 0.0000 0.0000 0.4810 1
Si2 Si 0.5000 0.5000 0.2804 1
Au1 Au 0.5000 0.5000 0.7889 1
```

Values from the calculation:
The value obtained for the energy is -16.295 eV for the cell shown. The value obtained for the offset from the most stable computed form is 38 meV/atom.


# 11
Material: U3Ga2Tc4
Method: DFT, PBE
State: relaxed

Cell and atoms, written as CIF:
```
data_U3Ga2Tc4
_cell_length_a 8.4988
_cell_length_b 4.5380
_cell_length_c 8.8206
_cell_angle_alpha 90.00
_cell_angle_beta 90.72
_cell_angle_gamma 90.00
_symmetry_space_group_name_H-M 'C 1 2/m 1'
_symmetry_Int_Tables_number 12
loop_
_symmetry_equiv_pos_as_xyz
'x,y,z'
'-x,-y,-z'
'-x,y,-z'
'x,-y,z'
'x+1/2,y+1/2,z'
'-x+1/2,-y+1/2,-z'
'-x+1/2,y+1/2,-z'
'x+1/2,-y+1/2,z'
loop_
_atom_site_label
_atom_site_type_symbol
_atom_site_fract_x
_atom_site_fract_y
_atom_site_fract_z
_atom_site_occupancy
U1 U 0.0000 0.0000 0.0000 1
U2 U 0.1272 0.5000 0.5868 1
Ga1 Ga 0.1813 0.5000 0.2226 1
Tc1 Tc 0.0925 0.0000 0.3590 1
Tc2 Tc 0.2345 0.5000 0.9142 1
```

Values from the calculation:
The value obtained for the energy is -166.118 eV for the cell shown. The calculation puts the energy relative to the elements at -162 kJ/mol of formula units.


# 12
Material: ReSiTc
Method: DFT, PBE
State: relaxed

Cell and atoms, written as CIF:
```
data_ReSiTc
_cell_length_a 4.2470
_cell_length_b 4.7599
_cell_length_c 5.1039
_cell_angle_alpha 64.62
_cell_angle_beta 65.62
_cell_angle_gamma 72.26
_symmetry_space_group_name_H-M 'P 1'
_symmetry_Int_Tables_number 1
loop_
_symmetry_equiv_pos_as_xyz
'x,y,z'
loop_
_atom_site_label
_atom_site_type_symbol
_atom_site_fract_x
_atom_site_fract_y
_atom_site_fract_z
_atom_site_occupancy
Re1 Re 0.0000 0.0000 0.0000 1
Re2 Re 0.3074 0.0085 0.3737 1
Si1 Si 0.0907 0.5125 0.4970 1
Si2 Si 0.6674 0.9488 0.7151 1
Tc1 Tc 0.4512 0.4577 0.8308 1
Tc2 Tc 0.7562 0.4666 0.2147 1
```

Values from the calculation:
The value obtained for the energy is -57.708 eV for the cell shown. The value obtained for the offset from the most stable computed form is 111 meV/atom.